Here is a geometry-optimized KLiLa2 structure from Alexandria. Energies are from PBE.

Values from the calculation:
V	39.0	Å³ per atom
relative energy among the computed polymorphs	0.0	meV per atom
magnetic moment	0.0	μB/cell
energy relative to the elements	0.163	eV per atom
E	-12.213	eV/f.u.

Cell and atoms, written as POSCAR:
```
KLiLa2
1.0
-0.3468 2.6599 2.6277
0.0578 -2.6365 2.6764
11.0639 -1.8006 3.2828
K La Li
1 2 1
Cartesian
7.8742 -2.0179 5.7647
0.5631 -2.6026 2.7088
2.7850 0.2348 2.8128
5.1715 -2.2466 2.9566
```